Record 1
Below is a relaxed NdEr2Mg6 crystal, with properties calculated at the PBE level.

Output
Symmetry: No. 191
Energy of formation from the pure elements in eV per atom: -0.073
Size of the total moment in μB per cell: 0.000
Calculated total energy in eV/f.u.: -24.115

abc: 9.096 9.096 3.299
angles: 90.00 90.00 120.00
Positions (direct):
Nd: 0.000 0.000 0.000
Er: 0.333 0.667 0.000
Er: 0.667 0.333 0.000
Mg: 0.000 0.337 0.500
Mg: 0.000 0.663 0.500
Mg: 0.337 0.000 0.500
Mg: 0.337 0.337 0.500
Mg: 0.663 0.000 0.500
Mg: 0.663 0.663 0.500

Record 2
Below is a relaxed SrCaMg2Rh crystal, with properties calculated at the PBE level.

Output
Energy above the lowest structure with this stoichiometry in eV/f.u.: 0.00
Symmetry: No. 123
Energy of formation from the pure elements in eV per atom: -0.209
Size of the total moment in μB per cell: 0.000
Calculated total energy in eV/f.u.: -15.270

abc: 5.229 5.229 5.316
angles: 90.00 90.00 90.00
Positions (direct):
Sr: 0.000 0.000 0.000
Ca: 0.500 0.500 0.000
Mg: 0.000 0.500 0.500
Mg: 0.500 0.000 0.500
Rh: 0.500 0.500 0.500

Record 3
Below is a relaxed SnHSe2 crystal, with properties calculated at the PBE level.

Output
Energy above the lowest structure with this stoichiometry in eV/f.u.: 0.34
Symmetry: No. 166
Size of the total moment in μB per cell: 0.000
Calculated total energy in eV/f.u.: -14.796

abc: 4.188 4.188 19.885
angles: 90.00 90.00 120.00
Positions (direct):
Sn: 0.000 0.000 0.000
Sn: 0.333 0.667 0.667
Sn: 0.667 0.333 0.333
H: 0.000 0.000 0.500
H: 0.333 0.667 0.167
H: 0.667 0.333 0.833
Se: 0.000 0.000 0.412
Se: 0.000 0.000 0.588
Se: 0.333 0.667 0.079
Se: 0.333 0.667 0.255
Se: 0.667 0.333 0.745
Se: 0.667 0.333 0.921

Record 4
Below is a relaxed TiTlAgGe2 crystal, with properties calculated at the PBE level.

Output
Symmetry: No. 123
Energy of formation from the pure elements in eV per atom: 0.956
Size of the total moment in μB per cell: 0.022
Calculated total energy in eV/f.u.: -17.569

abc: 4.891 4.891 5.417
angles: 90.00 90.00 90.00
Positions (direct):
Ti: 0.000 0.000 0.000
Tl: 0.500 0.500 0.000
Ag: 0.500 0.500 0.500
Ge: 0.000 0.500 0.500
Ge: 0.500 0.000 0.500

Record 5
Below is a relaxed LaMgGa crystal, with properties calculated at the PBE level.

Output
Symmetry: No. 11
Energy of formation from the pure elements in eV per atom: -0.350
Size of the total moment in μB per cell: 0.000
Calculated total energy in eV/f.u.: -10.600

abc: 4.912 5.139 6.623
angles: 90.00 111.70 90.00
Positions (direct):
La: 0.112 0.250 0.222
La: 0.888 0.750 0.778
Mg: 0.399 0.250 0.797
Mg: 0.601 0.750 0.203
Ga: 0.239 0.750 0.479
Ga: 0.761 0.250 0.521

Record 6
Below is a relaxed NiRhI2 crystal, with properties calculated at the PBE level.

Output
Energy above the lowest structure with this stoichiometry in eV/f.u.: 0.96
Formation energy (no corrections) in eV per atom: 0.515
Symmetry: No. 166
Size of the total moment in μB per cell: 3.195
Calculated total energy in eV/f.u.: -14.172

abc: 3.777 3.777 24.391
angles: 90.00 90.00 120.00
Positions (direct):
Ni: 0.000 0.000 0.000
Ni: 0.333 0.667 0.667
Ni: 0.667 0.333 0.333
Rh: 0.000 0.000 0.500
Rh: 0.333 0.667 0.167
Rh: 0.667 0.333 0.833
I: 0.000 0.000 0.396
I: 0.000 0.000 0.604
I: 0.333 0.667 0.063
I: 0.333 0.667 0.271
I: 0.667 0.333 0.729
I: 0.667 0.333 0.937

Record 7
Below is a relaxed Ce2Pu3ZrP6 crystal, with properties calculated at the PBE level.

Output
Symmetry: No. 12
Energy of formation from the pure elements in eV per atom: -1.300
Size of the total moment in μB per cell: 5.589
Calculated total energy in eV/f.u.: -111.465

abc: 8.890 8.890 7.949
angles: 102.52 102.52 25.90
Positions (direct):
Ce: 0.164 0.164 0.330
Ce: 0.836 0.836 0.670
Pu: 0.168 0.168 0.836
Pu: 0.500 0.500 0.500
Pu: 0.832 0.832 0.164
Zr: 0.500 0.500 0.000
P: 0.003 0.003 0.761
P: 0.333 0.333 0.412
P: 0.338 0.338 0.925
P: 0.662 0.662 0.075
P: 0.667 0.667 0.588
P: 0.997 0.997 0.239

Record 8
Below is a relaxed Cr2TeSe crystal, with properties calculated at the PBE level.

Output
Energy above the lowest structure with this stoichiometry in eV/f.u.: 1.39
Formation energy (no corrections) in eV per atom: 0.191
Symmetry: No. 12
Size of the total moment in μB per cell: 15.477
Calculated total energy in eV/f.u.: -25.108

abc: 6.812 6.811 3.426
angles: 90.00 90.10 90.00
Positions (direct):
Cr: 0.250 0.250 0.000
Cr: 0.250 0.750 0.000
Cr: 0.750 0.250 0.000
Cr: 0.750 0.750 0.000
Te: 0.000 0.000 0.500
Te: 0.500 0.500 0.500
Se: 0.000 0.500 0.500
Se: 0.500 0.000 0.500

Record 9
Below is a relaxed Sb2HSeI crystal, with properties calculated at the PBE level.

Output
Energy above the lowest structure with this stoichiometry in eV/f.u.: 0.00
Symmetry: No. 123
Size of the total moment in μB per cell: 0.000
Calculated total energy in eV/f.u.: -13.578

abc: 5.128 5.128 4.268
angles: 90.00 90.00 90.00
Positions (direct):
Sb: 0.000 0.500 0.000
Sb: 0.500 0.000 0.000
H: 0.000 0.000 0.000
Se: 0.500 0.500 0.500
I: 0.000 0.000 0.500

Record 10
Below is a relaxed ZnCo2W crystal, with properties calculated at the PBE level.

Output
Symmetry: No. 119
Energy of formation from the pure elements in eV per atom: 0.125
Size of the total moment in μB per cell: 0.000
Calculated total energy in eV/f.u.: -27.938

abc: 3.546 3.546 7.944
angles: 90.00 90.00 90.00
Positions (direct):
Zn: 0.000 0.000 0.000
Zn: 0.500 0.500 0.500
Co: 0.000 0.000 0.500
Co: 0.000 0.500 0.750
Co: 0.500 0.000 0.250
Co: 0.500 0.500 0.000
W: 0.000 0.500 0.250
W: 0.500 0.000 0.750

Record 11
Below is a relaxed Rb2RuBrCl6 crystal, with properties calculated at the PBE level.

Output
Energy above the lowest structure with this stoichiometry in eV/f.u.: 0.00
Formation energy (no corrections) in eV per atom: -1.026
Symmetry: No. 1
Size of the total moment in μB per cell: 1.003
Calculated total energy in eV/f.u.: -34.225

abc: 7.066 7.140 7.810
angles: 68.50 89.92 60.38
Positions (direct):
Rb: 0.000 0.000 0.000
Rb: 0.429 0.141 0.509
Ru: 0.703 0.571 0.254
Br: 0.935 0.571 0.754
Cl: 0.010 0.437 0.116
Cl: 0.412 0.688 0.413
Cl: 0.512 0.954 0.995
Cl: 0.531 0.452 0.096
Cl: 0.874 0.706 0.392
Cl: 0.895 0.188 0.513

Record 12
Below is a relaxed KSbBr2 crystal, with properties calculated at the PBE level.

Output
Energy above the lowest structure with this stoichiometry in eV/f.u.: 0.40
Formation energy (no corrections) in eV per atom: -0.677
Symmetry: No. 123
Size of the total moment in μB per cell: 0.000
Calculated total energy in eV/f.u.: -11.273

abc: 4.539 4.539 6.525
angles: 90.00 90.00 90.00
Positions (direct):
K: 0.000 0.000 0.000
Sb: 0.500 0.500 0.500
Br: 0.000 0.000 0.500
Br: 0.500 0.500 0.000

size of the total moment of number 3 (SnHSe2)? 0.000 μB per cell